The following is a PBE-GGA calculation of Mg2TcF after structural relaxation, from Alexandria via LeMat-Bulk.

Calculated values
- Volume: 69.0 Å³/cell
- SG: Fm-3m (225)
- Uncorrected formation energy: 3.8 kJ per mole of atoms
- Total DFT energy (no corrections): -3.818 eV per atom
- Fermi-level density of states: 2.5 states/eV per cell
- Calculated density: 4.0 g/cm3

```
Mg2TcF
1.0
0.0000 3.2552 3.2552
3.2552 0.0000 3.2552
3.2552 3.2552 0.0000
Mg F Tc
2 1 1
Direct
0.2500 0.2500 0.2500 Mg
0.7500 0.7500 0.7500 Mg
0.0000 0.0000 0.0000 F
0.5000 0.5000 0.5000 Tc
```